(1)
Below is a PBEsol-optimized structure of Re2PbSe, with properties calculated at the meta-GGA SCAN level.

Cell lengths 5.489, 5.489, 5.489 Å; angles 148.38, 125.51, 64.39 degrees
Atoms (fractional coordinates):
Re 0.216 0.216 0.000
Re 0.784 0.784 0.000
Pb 0.500 0.000 0.500
Se 0.000 0.500 0.500

Output
The value obtained for the final energy is -58.358 eV/atom. The calculation puts the density of states at the Fermi level at 0.694 states/eV/atom. The crystal system is orthorhombic.

(2)
Below is a PBEsol-optimized structure of RePb2Se, with properties calculated at the meta-GGA SCAN level.

Cell lengths 7.288, 7.288, 7.288 Å; angles 154.28, 144.97, 43.96 degrees
Atoms (fractional coordinates):
Re 0.000 0.000 0.000
Pb 0.224 0.724 0.500
Pb 0.557 0.557 0.000
Se 0.866 0.366 0.500

Output
The value obtained for the final energy is -60.212 eV/atom. The calculation puts the density of states at the Fermi level at 0.659 states/eV/atom. The crystal system is orthorhombic.

Number 1 is which compound? Re2PbSe

Copy entry 1 word for word.
Below is a PBEsol-optimized structure of Re2PbSe, with properties calculated at the meta-GGA SCAN level.

Cell lengths 5.489, 5.489, 5.489 Å; angles 148.38, 125.51, 64.39 degrees
Atoms (fractional coordinates):
Re 0.216 0.216 0.000
Re 0.784 0.784 0.000
Pb 0.500 0.000 0.500
Se 0.000 0.500 0.500

Output
The value obtained for the final energy is -58.358 eV/atom. The calculation puts the density of states at the Fermi level at 0.694 states/eV/atom. The crystal system is orthorhombic.

What is the formula in the second record? RePb2Se